1.
# Ti12CdPb3 (PBE, optimized geometry)
# - Crystal system: orthorhombic
# - Uncorrected energy: -6.7158 eV/atom
data_Ti12CdPb3
_cell_length_a 5.2710
_cell_length_b 5.2783
_cell_length_c 10.5459
_cell_angle_alpha 90.00
_cell_angle_beta 90.00
_cell_angle_gamma 90.00
_symmetry_space_group_name_H-M 'P m m m'
_symmetry_Int_Tables_number 47
loop_
_symmetry_equiv_pos_as_xyz
'x,y,z'
'-x,-y,-z'
'-x,-y,z'
'x,y,-z'
'x,-y,-z'
'-x,y,z'
'-x,y,-z'
'x,-y,z'
loop_
_atom_site_label
_atom_site_type_symbol
_atom_site_fract_x
_atom_site_fract_y
_atom_site_fract_z
Ti1 Ti 0.0000 0.0000 0.1209
Ti2 Ti 0.0000 0.0000 0.3724
Ti3 Ti 0.2496 0.5000 0.5000
Ti4 Ti 0.2536 0.5000 0.0000
Ti5 Ti 0.5000 0.2480 0.2473
Cd1 Cd 0.5000 0.0000 0.0000
Pb1 Pb 0.0000 0.5000 0.2504
Pb2 Pb 0.5000 0.0000 0.5000

=====

2.
# Ti2Cd2Pb (PBE, optimized geometry)
# - Distance to the lowest polymorph of the same formula: 98 meV/atom
# - Crystal system: tetragonal
data_Ti2Cd2Pb
_cell_length_a 8.2035
_cell_length_b 8.2035
_cell_length_c 3.1887
_cell_angle_alpha 90.00
_cell_angle_beta 90.00
_cell_angle_gamma 90.00
_symmetry_space_group_name_H-M 'P 4/m b m'
_symmetry_Int_Tables_number 127
_symmetry_space_group_name_Hall '-P 4 2ab'
loop_
_atom_site_label
_atom_site_type_symbol
_atom_site_fract_x
_atom_site_fract_y
_atom_site_fract_z
Ti1 Ti 0.1720 0.3280 0.0000
Cd1 Cd 0.1246 0.6246 0.5000
Pb1 Pb 0.0000 0.0000 0.5000

=====

3.
# TiCd3Pb (PBE, optimized geometry)
# - Crystal system: cubic
# - Uncorrected energy: -2.2166 eV/atom
data_TiCd3Pb
_cell_length_a 5.3506
_cell_length_b 5.3506
_cell_length_c 5.3506
_cell_angle_alpha 90.00
_cell_angle_beta 90.00
_cell_angle_gamma 90.00
_symmetry_space_group_name_H-M 'P m -3 m'
_symmetry_Int_Tables_number 221
_symmetry_space_group_name_Hall '-P 4 2 3'
loop_
_atom_site_label
_atom_site_type_symbol
_atom_site_fract_x
_atom_site_fract_y
_atom_site_fract_z
Ti1 Ti 0.0000 0.0000 0.0000
Cd1 Cd 0.0000 0.0000 0.5000
Pb1 Pb 0.5000 0.5000 0.5000

=====

4.
# Ti3CdPb (PBE, optimized geometry)
# - Distance to the lowest polymorph of the same formula: 0 meV/atom
# - Crystal system: cubic
data_Ti3CdPb
_cell_length_a 4.9786
_cell_length_b 4.9786
_cell_length_c 4.9786
_cell_angle_alpha 90.00
_cell_angle_beta 90.00
_cell_angle_gamma 90.00
_symmetry_space_group_name_H-M 'P m -3 m'
_symmetry_Int_Tables_number 221
_symmetry_space_group_name_Hall '-P 4 2 3'
loop_
_atom_site_label
_atom_site_type_symbol
_atom_site_fract_x
_atom_site_fract_y
_atom_site_fract_z
Ti1 Ti 0.0000 0.0000 0.5000
Cd1 Cd 0.0000 0.0000 0.0000
Pb1 Pb 0.5000 0.5000 0.5000

=====

5.
# Ti2Cd2Pb (PBE, optimized geometry)
# - Distance to the lowest polymorph of the same formula: 0 meV/atom
# - Crystal system: tetragonal
data_Ti2Cd2Pb
_cell_length_a 7.1781
_cell_length_b 7.1781
_cell_length_c 4.2814
_cell_angle_alpha 90.00
_cell_angle_beta 90.00
_cell_angle_gamma 90.00
_symmetry_space_group_name_H-M 'P 4/m b m'
_symmetry_Int_Tables_number 127
_symmetry_space_group_name_Hall '-P 4 2ab'
loop_
_atom_site_label
_atom_site_type_symbol
_atom_site_fract_x
_atom_site_fract_y
_atom_site_fract_z
Ti1 Ti 0.1316 0.3684 0.0000
Cd1 Cd 0.1598 0.6598 0.5000
Pb1 Pb 0.0000 0.0000 0.0000

=====

6.
# Ti2CdPb2 (PBE, optimized geometry)
# - Crystal system: tetragonal
# - Uncorrected energy: -4.7167 eV/atom
data_Ti2CdPb2
_cell_length_a 7.5111
_cell_length_b 7.5111
_cell_length_c 3.9731
_cell_angle_alpha 90.00
_cell_angle_beta 90.00
_cell_angle_gamma 90.00
_symmetry_space_group_name_H-M 'P 4/m b m'
_symmetry_Int_Tables_number 127
_symmetry_space_group_name_Hall '-P 4 2ab'
loop_
_atom_site_label
_atom_site_type_symbol
_atom_site_fract_x
_atom_site_fract_y
_atom_site_fract_z
Ti1 Ti 0.1274 0.3726 0.0000
Cd1 Cd 0.0000 0.0000 0.0000
Pb1 Pb 0.1733 0.6733 0.5000

=====

7.
# Ti4CdPb (PBE, optimized geometry)
# - Crystal system: orthorhombic
# - Uncorrected energy: -6.0659 eV/atom
data_Ti4CdPb
_cell_length_a 4.2104
_cell_length_b 13.1864
_cell_length_c 4.1556
_cell_angle_alpha 90.00
_cell_angle_beta 90.00
_cell_angle_gamma 90.00
_symmetry_space_group_name_H-M 'C m m m'
_symmetry_Int_Tables_number 65
_symmetry_space_group_name_Hall '-C 2 2'
loop_
_atom_site_label
_atom_site_type_symbol
_atom_site_fract_x
_atom_site_fract_y
_atom_site_fract_z
Ti1 Ti 0.0000 0.1772 0.0000
Ti2 Ti 0.0000 0.3219 0.5000
Cd1 Cd 0.0000 0.5000 0.0000
Pb1 Pb 0.0000 0.0000 0.5000

=====

8.
# TiCd2Pb (PBE, optimized geometry)
# - Crystal system: tetragonal
# - Uncorrected energy: -3.0540 eV/atom
data_TiCd2Pb
_cell_length_a 8.1773
_cell_length_b 8.1773
_cell_length_c 5.7694
_cell_angle_alpha 90.00
_cell_angle_beta 90.00
_cell_angle_gamma 90.00
_symmetry_space_group_name_H-M 'I -4 2 d'
_symmetry_Int_Tables_number 122
_symmetry_space_group_name_Hall 'I -4 2bw'
loop_
_atom_site_label
_atom_site_type_symbol
_atom_site_fract_x
_atom_site_fract_y
_atom_site_fract_z
Ti1 Ti 0.0000 0.0000 0.0000
Cd1 Cd 0.2348 0.2500 0.1250
Pb1 Pb 0.0000 0.0000 0.5000

=====

9.
# Ti2CdPb (PBE, optimized geometry)
# - Crystal system: tetragonal
# - Uncorrected energy: -5.0660 eV/atom
data_Ti2CdPb
_cell_length_a 4.3011
_cell_length_b 4.3011
_cell_length_c 4.2538
_cell_angle_alpha 90.00
_cell_angle_beta 90.00
_cell_angle_gamma 90.00
_symmetry_space_group_name_H-M 'P 4/m m m'
_symmetry_Int_Tables_number 123
_symmetry_space_group_name_Hall '-P 4 2'
loop_
_atom_site_label
_atom_site_type_symbol
_atom_site_fract_x
_atom_site_fract_y
_atom_site_fract_z
Ti1 Ti 0.0000 0.5000 0.0000
Cd1 Cd 0.0000 0.0000 0.5000
Pb1 Pb 0.5000 0.5000 0.5000

=====

10.
# Ti15Cd2Pb2 (PBE, optimized geometry)
# - Crystal system: trigonal
# - Uncorrected energy: -6.4415 eV/atom
data_Ti15Cd2Pb2
_cell_length_a 9.1793
_cell_length_b 9.1793
_cell_length_c 14.7573
_cell_angle_alpha 90.00
_cell_angle_beta 90.00
_cell_angle_gamma 120.00
_symmetry_space_group_name_H-M 'R -3 m'
_symmetry_Int_Tables_number 166
_symmetry_space_group_name_Hall '-R 3 2"'
loop_
_atom_site_label
_atom_site_type_symbol
_atom_site_fract_x
_atom_site_fract_y
_atom_site_fract_z
Ti1 Ti 0.0000 0.3024 0.0000
Ti2 Ti 0.0000 0.5000 0.5000
Ti3 Ti 0.0256 0.5128 0.1386
Cd1 Cd 0.0000 0.0000 0.0956
Pb1 Pb 0.0000 0.0000 0.3173

=====

11.
# Ti2Cd2Pb (PBE, optimized geometry)
# - Distance to the lowest polymorph of the same formula: 109 meV/atom
# - Crystal system: tetragonal
data_Ti2Cd2Pb
_cell_length_a 4.0481
_cell_length_b 4.0481
_cell_length_c 13.4073
_cell_angle_alpha 90.00
_cell_angle_beta 90.00
_cell_angle_gamma 90.00
_symmetry_space_group_name_H-M 'I 4/m m m'
_symmetry_Int_Tables_number 139
_symmetry_space_group_name_Hall '-I 4 2'
loop_
_atom_site_label
_atom_site_type_symbol
_atom_site_fract_x
_atom_site_fract_y
_atom_site_fract_z
Ti1 Ti 0.0000 0.0000 0.0793
Cd1 Cd 0.0000 0.5000 0.2500
Pb1 Pb 0.0000 0.0000 0.5000

=====

12.
# TiCd2Pb (PBE, optimized geometry)
# - Crystal system: trigonal
# - Uncorrected energy: -2.9132 eV/atom
data_TiCd2Pb
_cell_length_a 3.1562
_cell_length_b 3.1562
_cell_length_c 35.2675
_cell_angle_alpha 90.00
_cell_angle_beta 90.00
_cell_angle_gamma 120.00
_symmetry_space_group_name_H-M 'R -3 m'
_symmetry_Int_Tables_number 166
_symmetry_space_group_name_Hall '-R 3 2"'
loop_
_atom_site_label
_atom_site_type_symbol
_atom_site_fract_x
_atom_site_fract_y
_atom_site_fract_z
Ti1 Ti 0.0000 0.0000 0.0000
Cd1 Cd 0.0000 0.0000 0.0814
Pb1 Pb 0.0000 0.0000 0.5000